A plane-wave DFT calculation with meta-GGA SCAN was carried out for a PBEsol-optimized structure of LiTl2Ge.

Results
Its space-group type is Fm-3m (225).

abc: 5.0454 5.0454 5.0454
angles: 60.00 60.00 60.00
With the nearest neighbours (Å) after each atom.
Positions (direct):
Li1 0.0000 0.0000 0.0000  8 Tl 3.09
Tl1 0.2500 0.2500 0.2500  4 Ge 3.09, 4 Li 3.09
Tl2 0.7500 0.7500 0.7500  4 Ge 3.09, 4 Li 3.09
Ge1 0.5000 0.5000 0.5000  8 Tl 3.09


A plane-wave DFT calculation with meta-GGA SCAN was carried out for a PBEsol-optimized structure of LiYGe.

Results
Its space-group type is P-62m (189).

abc: 6.9759 6.9759 4.2190
angles: 90.00 90.00 120.00
With the nearest neighbours (Å) after each atom.
Positions (direct):
Li1 0.0000 0.2326 0.0000  4 Ge 2.66-2.75, 2 Li 2.81
Li2 0.2326 0.0000 0.0000  4 Ge 2.66-2.75, 2 Li 2.81
Li3 0.7674 0.7674 0.0000  4 Ge 2.66-2.75, 2 Li 2.81
Y1 0.0000 0.5738 0.5000  5 Ge 2.96-2.97, 2 Li 3.18
Y2 0.4262 0.4262 0.5000  5 Ge 2.96-2.97, 2 Li 3.18
Y3 0.5738 0.0000 0.5000  5 Ge 2.96-2.97, 2 Li 3.18
Ge1 0.0000 0.0000 0.5000  6 Li 2.66, 3 Y 2.97
Ge2 0.3333 0.6667 0.0000  3 Li 2.75, 6 Y 2.96
Ge3 0.6667 0.3333 0.0000  3 Li 2.75, 6 Y 2.96


A plane-wave DFT calculation with meta-GGA SCAN was carried out for a PBEsol-optimized structure of Li8Zn2Ge3.

Results
Its space-group type is R-3c (167).

abc: 9.0956 9.0956 9.0956
angles: 48.26 48.26 48.26
With the nearest neighbours (Å) after each atom.
Positions (direct):
Li1 0.0469 0.6994 0.3403  5 Li 2.62-2.83, 2 Zn 2.69-2.79, 4 Ge 2.70-2.86
Li2 0.1597 0.8006 0.4531  5 Li 2.62-2.83, 2 Zn 2.69-2.79, 4 Ge 2.70-2.86
Li3 0.1983 0.1983 0.1983  4 Li 2.49-2.63, 3 Ge 2.71
Li4 0.1994 0.5469 0.8403  5 Li 2.62-2.83, 2 Zn 2.69-2.79, 4 Ge 2.70-2.86
Li5 0.3006 0.6597 0.9531  5 Li 2.62-2.83, 2 Zn 2.69-2.79, 4 Ge 2.70-2.86
Li6 0.3017 0.3017 0.3017  4 Li 2.49-2.63, 3 Ge 2.71
Li7 0.3403 0.0469 0.6994  5 Li 2.62-2.83, 2 Zn 2.69-2.79, 4 Ge 2.70-2.86
Li8 0.4531 0.1597 0.8006  5 Li 2.62-2.83, 2 Zn 2.69-2.79, 4 Ge 2.70-2.86
Li9 0.5469 0.8403 0.1994  5 Li 2.62-2.83, 2 Zn 2.69-2.79, 4 Ge 2.70-2.86
Li10 0.6597 0.9531 0.3006  5 Li 2.62-2.83, 2 Zn 2.69-2.79, 4 Ge 2.70-2.86
Li11 0.6983 0.6983 0.6983  4 Li 2.49-2.63, 3 Ge 2.71
Li12 0.6994 0.3403 0.0469  5 Li 2.62-2.83, 2 Zn 2.69-2.79, 4 Ge 2.70-2.86
Li13 0.8006 0.4531 0.1597  5 Li 2.62-2.83, 2 Zn 2.69-2.79, 4 Ge 2.70-2.86
Li14 0.8017 0.8017 0.8017  4 Li 2.49-2.63, 3 Ge 2.71
Li15 0.8403 0.1994 0.5469  5 Li 2.62-2.83, 2 Zn 2.69-2.79, 4 Ge 2.70-2.86
Li16 0.9531 0.3006 0.6597  5 Li 2.62-2.83, 2 Zn 2.69-2.79, 4 Ge 2.70-2.86
Zn1 0.0809 0.0809 0.0809  3 Ge 2.52, 6 Li 2.69-2.79
Zn2 0.4191 0.4191 0.4191  3 Ge 2.52, 6 Li 2.69-2.79
Zn3 0.5809 0.5809 0.5809  3 Ge 2.52, 6 Li 2.69-2.79
Zn4 0.9191 0.9191 0.9191  3 Ge 2.52, 6 Li 2.69-2.79
Ge1 0.0738 0.4262 0.7500  2 Zn 2.52, 6 Li 2.70-2.74
Ge2 0.2500 0.9262 0.5738  2 Zn 2.52, 6 Li 2.70-2.74
Ge3 0.4262 0.7500 0.0738  2 Zn 2.52, 6 Li 2.70-2.74
Ge4 0.5738 0.2500 0.9262  2 Zn 2.52, 6 Li 2.70-2.74
Ge5 0.7500 0.0738 0.4262  2 Zn 2.52, 6 Li 2.70-2.74
Ge6 0.9262 0.5738 0.2500  2 Zn 2.52, 6 Li 2.70-2.74


A plane-wave DFT calculation with meta-GGA SCAN was carried out for a PBEsol-optimized structure of LiZn2Ge2.

Results
Its space-group type is I4/mmm (139). Its offset from the most stable computed form is 0.00 eV per formula unit.

abc: 6.0810 6.0810 6.0810
angles: 140.85 140.85 56.57
With the nearest neighbours (Å) after each atom.
Positions (direct):
Li1 0.0000 0.0000 0.0000  8 Ge 3.12, 8 Zn 3.36
Zn1 0.2500 0.7500 0.5000  4 Ge 2.52
Zn2 0.7500 0.2500 0.5000  4 Ge 2.52
Ge1 0.3883 0.3883 0.0000  1 Ge 2.39, 4 Zn 2.52
Ge2 0.6117 0.6117 0.0000  1 Ge 2.39, 4 Zn 2.52


A plane-wave DFT calculation with meta-GGA SCAN was carried out for a PBEsol-optimized structure of Li2ZrGe2.

Results
Its space-group type is I4/mmm (139).

abc: 6.3239 6.3239 6.3239
angles: 145.59 145.59 49.46
With the nearest neighbours (Å) after each atom.
Positions (direct):
Li1 0.2500 0.7500 0.5000  4 Ge 2.51, 4 Li 2.65
Li2 0.7500 0.2500 0.5000  4 Ge 2.51, 4 Li 2.65
Zr1 0.0000 0.0000 0.0000  8 Ge 2.91
Ge1 0.3954 0.3954 0.0000  1 Ge 2.40, 4 Li 2.51
Ge2 0.6046 0.6046 0.0000  1 Ge 2.40, 4 Li 2.51


A plane-wave DFT calculation with meta-GGA SCAN was carried out for a PBEsol-optimized structure of Li2ZrGe.

Results
Its space-group type is I-42d (122).

abc: 10.6702 10.6702 10.6702
angles: 159.51 159.51 29.14
With the nearest neighbours (Å) after each atom.
Positions (direct):
Li1 0.0948 0.6250 0.9698  2 Li 2.53
Li2 0.3750 0.3448 0.4698  2 Li 2.53
Li3 0.6552 0.1250 0.0302  2 Li 2.53
Li4 0.8750 0.9052 0.5302  2 Li 2.53
Zr1 0.2500 0.7500 0.5000  4 Ge 2.68, 4 Li 2.95
Zr2 0.5000 0.5000 0.0000  4 Ge 2.68, 4 Li 2.95
Ge1 0.0000 0.0000 0.0000  4 Zr 2.68, 4 Li 2.87
Ge2 0.7500 0.2500 0.5000  4 Zr 2.68, 4 Li 2.87


A plane-wave DFT calculation with meta-GGA SCAN was carried out for a PBEsol-optimized structure of LuMn6Ge6.

Results
Its space-group type is P6/mmm (191).

abc: 5.0674 5.0674 7.9992
angles: 90.00 90.00 120.00
With the nearest neighbours (Å) after each atom.
Positions (direct):
Lu1 0.0000 0.0000 0.0000  8 Ge 2.74-2.93
Mn1 0.0000 0.5000 0.2497  6 Ge 2.48-2.64, 4 Mn 2.53
Mn2 0.0000 0.5000 0.7503  6 Ge 2.48-2.64, 4 Mn 2.53
Mn3 0.5000 0.0000 0.2497  6 Ge 2.48-2.64, 4 Mn 2.53
Mn4 0.5000 0.0000 0.7503  6 Ge 2.48-2.64, 4 Mn 2.53
Mn5 0.5000 0.5000 0.2497  6 Ge 2.48-2.64, 4 Mn 2.53
Mn6 0.5000 0.5000 0.7503  6 Ge 2.48-2.64, 4 Mn 2.53
Ge1 0.0000 0.0000 0.3430  1 Ge 2.51, 6 Mn 2.64, 1 Lu 2.74
Ge2 0.0000 0.0000 0.6570  1 Ge 2.51, 6 Mn 2.64, 1 Lu 2.74
Ge3 0.3333 0.6667 0.0000  6 Mn 2.48
Ge4 0.3333 0.6667 0.5000  6 Mn 2.48
Ge5 0.6667 0.3333 0.0000  6 Mn 2.48
Ge6 0.6667 0.3333 0.5000  6 Mn 2.48


A plane-wave DFT calculation with meta-GGA SCAN was carried out for a PBEsol-optimized structure of LuNiGe.

Results
Its space-group type is Pnma (62).

abc: 6.6402 4.1253 7.0969
angles: 90.00 90.00 90.00
With the nearest neighbours (Å) after each atom.
Positions (direct):
Lu1 0.0078 0.2500 0.2056  6 Ni 2.84-3.06, 6 Ge 2.87-3.00
Lu2 0.4922 0.7500 0.7056  6 Ni 2.84-3.06, 6 Ge 2.87-3.00
Lu3 0.5078 0.2500 0.2944  6 Ni 2.84-3.06, 6 Ge 2.87-3.00
Lu4 0.9922 0.7500 0.7944  6 Ni 2.84-3.06, 6 Ge 2.87-3.00
Ni1 0.1932 0.7500 0.4183  4 Ge 2.39-2.59
Ni2 0.3068 0.2500 0.9183  4 Ge 2.39-2.59
Ni3 0.6932 0.7500 0.0817  4 Ge 2.39-2.59
Ni4 0.8068 0.2500 0.5817  4 Ge 2.39-2.59
Ge1 0.1971 0.2500 0.5893  4 Ni 2.39-2.59
Ge2 0.3029 0.7500 0.0893  4 Ni 2.39-2.59
Ge3 0.6971 0.2500 0.9107  4 Ni 2.39-2.59
Ge4 0.8029 0.7500 0.4107  4 Ni 2.39-2.59


A plane-wave DFT calculation with meta-GGA SCAN was carried out for a PBEsol-optimized structure of Lu3Ni2Ge3.

Results
Its space-group type is Cmcm (63).

abc: 5.3744 5.3744 13.6340
angles: 90.00 90.00 135.19
With the nearest neighbours (Å) after each atom.
Positions (direct):
Lu1 0.0860 0.9140 0.6096  4 Ni 2.87-3.09, 7 Ge 2.89-3.08
Lu2 0.0860 0.9140 0.8904  4 Ni 2.87-3.09, 7 Ge 2.89-3.08
Lu3 0.3639 0.6361 0.7500  5 Ge 2.88-2.95, 4 Ni 2.96
Lu4 0.6361 0.3639 0.2500  5 Ge 2.88-2.95, 4 Ni 2.96
Lu5 0.9140 0.0860 0.1096  4 Ni 2.87-3.09, 7 Ge 2.89-3.08
Lu6 0.9140 0.0860 0.3904  4 Ni 2.87-3.09, 7 Ge 2.89-3.08
Ni1 0.2024 0.7976 0.1007  4 Ge 2.36-2.57
Ni2 0.2024 0.7976 0.3993  4 Ge 2.36-2.57
Ni3 0.7976 0.2024 0.6007  4 Ge 2.36-2.57
Ni4 0.7976 0.2024 0.8993  4 Ge 2.36-2.57
Ge1 0.3396 0.6604 0.2500  2 Ni 2.45
Ge2 0.3771 0.6229 0.5379  3 Ni 2.36-2.57
Ge3 0.3771 0.6229 0.9621  3 Ni 2.36-2.57
Ge4 0.6229 0.3771 0.0379  3 Ni 2.36-2.57
Ge5 0.6229 0.3771 0.4621  3 Ni 2.36-2.57
Ge6 0.6604 0.3396 0.7500  2 Ni 2.45


A plane-wave DFT calculation with meta-GGA SCAN was carried out for a PBEsol-optimized structure of Lu4Ge6Os7.

Results
Its space-group type is Im-3m (229).

abc: 7.1008 7.1008 7.1008
angles: 109.47 109.47 109.47
With the nearest neighbours (Å) after each atom.
Positions (direct):
Lu1 0.0000 0.0000 0.5000  6 Os 2.90, 6 Ge 2.94
Lu2 0.0000 0.5000 0.0000  6 Os 2.90, 6 Ge 2.94
Lu3 0.5000 0.0000 0.0000  6 Os 2.90, 6 Ge 2.94
Lu4 0.5000 0.5000 0.5000  6 Os 2.90, 6 Ge 2.94
Ge1 0.0000 0.3081 0.3081  5 Os 2.53-2.58
Ge2 0.0000 0.6919 0.6919  5 Os 2.53-2.58
Ge3 0.3081 0.0000 0.3081  5 Os 2.53-2.58
Ge4 0.3081 0.3081 0.0000  5 Os 2.53-2.58
Ge5 0.6919 0.0000 0.6919  5 Os 2.53-2.58
Ge6 0.6919 0.6919 0.0000  5 Os 2.53-2.58
Os1 0.0000 0.0000 0.0000  6 Ge 2.53
Os2 0.2500 0.5000 0.7500  4 Ge 2.58
Os3 0.2500 0.7500 0.5000  4 Ge 2.58
Os4 0.5000 0.2500 0.7500  4 Ge 2.58
Os5 0.5000 0.7500 0.2500  4 Ge 2.58
Os6 0.7500 0.2500 0.5000  4 Ge 2.58
Os7 0.7500 0.5000 0.2500  4 Ge 2.58


A plane-wave DFT calculation with meta-GGA SCAN was carried out for a PBEsol-optimized structure of LuGePd.

Results
Its space-group type is Imm2 (44).

abc: 10.9774 10.9774 10.9774
angles: 157.47 46.23 140.19
With the nearest neighbours (Å) after each atom.
Positions (direct):
Lu1 0.0000 0.0000 0.0000  6 Ge 2.90-2.94, 6 Pd 3.14-3.16
Lu2 0.2535 0.0861 0.1673  6 Pd 2.87-3.13, 5 Ge 2.96-3.09
Lu3 0.3393 0.0059 0.3335  6 Pd 2.97-3.04, 6 Ge 3.00-3.21
Lu4 0.5826 0.0826 0.5000  6 Ge 2.99-3.15, 6 Pd 3.03-3.05
Lu5 0.6724 0.0059 0.6665  6 Pd 2.97-3.04, 6 Ge 3.00-3.21
Lu6 0.9188 0.0861 0.8327  6 Pd 2.87-3.13, 5 Ge 2.96-3.09
Ge1 0.1274 0.3899 0.7374  4 Pd 2.50-2.67
Ge2 0.1348 0.7007 0.4341  3 Pd 2.50-2.55, 1 Ge 2.66
Ge3 0.2666 0.7007 0.5659  3 Pd 2.50-2.55, 1 Ge 2.66
Ge4 0.6105 0.7034 0.9071  4 Pd 2.51-2.79
Ge5 0.6525 0.3899 0.2626  4 Pd 2.50-2.67
Ge6 0.7964 0.7034 0.0929  4 Pd 2.51-2.79
Pd1 0.2996 0.3717 0.9279  3 Ge 2.50-2.52
Pd2 0.4438 0.3717 0.0721  3 Ge 2.50-2.52
Pd3 0.4873 0.7181 0.7691  4 Ge 2.50-2.79
Pd4 0.7708 0.3760 0.3948  4 Ge 2.51-2.67
Pd5 0.9490 0.7181 0.2309  4 Ge 2.50-2.79
Pd6 0.9812 0.3760 0.6052  4 Ge 2.51-2.67


Number 1: energy of formation from the pure elements 19 meV/atom, total energy -3.05240 Ry per atom. Number 2: energy of formation from the pure elements -799 meV/atom, total energy -1.26702 Ry per atom. Number 3: energy of formation from the pure elements -374 meV/atom, total energy -0.61217 Ry per atom. Number 4: energy of formation from the pure elements -106 meV/atom, total energy -1.00143 Ry per atom. Number 5: energy of formation from the pure elements -474 meV/atom, total energy -1.11754 Ry per atom. Number 6: energy of formation from the pure elements -193 meV/atom, total energy -1.01682 Ry per atom. Number 7: energy of formation from the pure elements -445 meV/atom, total energy -1.61234 Ry per atom. Number 8: energy of formation from the pure elements -908 meV/atom, total energy -2.28656 Ry per atom. Number 9: energy of formation from the pure elements -914 meV/atom, total energy -2.41585 Ry per atom. Number 10: energy of formation from the pure elements -593 meV/atom, total energy -3.67120 Ry per atom. Number 11: energy of formation from the pure elements -1107 meV/atom, total energy -2.70784 Ry per atom.